VASP calculation (PBE) on crystalline Ti4Tc5Mo at its relaxed geometry.

Structure (POSCAR):
```
Ti4Tc5Mo
1.0
3.107 0.000 0.000
0.000 3.107 0.000
0.000 0.000 15.573
Ti Tc Mo
4 5 1
Cartesian
0.000 0.000 3.153
0.000 0.000 6.231
0.000 0.000 9.342
0.000 0.000 12.420
1.553 1.553 1.546
1.553 1.553 4.665
1.553 1.553 7.786
1.553 1.553 10.908
1.553 1.553 14.027
0.000 0.000 0.000
```

## Properties
Energy of formation from the pure elements (eV/atom): -0.430